Record 1
The following is a DFT calculation (meta-GGA SCAN) of a crystal of CoHgS2 relaxed with PBEsol.

Calculated values
Formation energy (no corrections): -117 kJ/mol of formula units

Lattice parameters (Å, degrees): 3.3356 3.3356 7.5842 77.30 77.30 60.00
Last column: nearest neighbours and their distance in Å.
Fractional positions:
S 0.1169 0.1169 0.6492  3 Co 2.22
Co 0.5000 0.5000 0.5000  6 S 2.22
S 0.8831 0.8831 0.3508  3 Co 2.22
Hg 0.0000 0.0000 0.0000  2 S 2.57

Record 2
The following is a DFT calculation (meta-GGA SCAN) of a crystal of CoHg2Sb relaxed with PBEsol.

Calculated values
Formation energy (no corrections): 159 kJ/mol of formula units

Lattice parameters (Å, degrees): 3.0122 3.0122 8.8225 90.00 90.00 90.15
Last column: nearest neighbours and their distance in Å.
Fractional positions:
Hg 0.0000 0.0000 0.8101  4 Co 2.71, 4 Hg 3.01
Co 0.5000 0.5000 0.0000  8 Hg 2.71, 4 Co 3.01
Hg 0.0000 0.0000 0.1899  4 Co 2.71, 4 Hg 3.01
Sb 0.5000 0.5000 0.5000  4 Sb 3.01

Record 3
The following is a DFT calculation (meta-GGA SCAN) of a crystal of CoHgSb relaxed with PBEsol.

Calculated values
Formation energy (no corrections): 96 kJ/mol of formula units

Lattice parameters (Å, degrees): 3.2719 3.2719 6.2671 90.00 90.00 120.00
Last column: nearest neighbours and their distance in Å.
Fractional positions:
Sb 0.6667 0.3333 0.2708  3 Co 2.47
Co 0.0000 0.0000 0.0165  3 Sb 2.47, 3 Hg 2.68
Hg 0.3333 0.6667 0.7126  3 Co 2.68

Record 4
The following is a DFT calculation (meta-GGA SCAN) of a crystal of ScCo3Hg relaxed with PBEsol.

Calculated values
Energy of formation: 114.3 kJ/mol of atoms

Lattice parameters (Å, degrees): 4.6406 4.6406 4.6406 90.00 90.00 90.00
Last column: nearest neighbours and their distance in Å.
Fractional positions:
Co 0.0000 0.5000 0.0000  2 Hg 2.32
Co 0.0000 0.0000 0.5000  2 Hg 2.32
Co 0.5000 0.0000 0.0000  2 Hg 2.32
Hg 0.0000 0.0000 0.0000  6 Co 2.32
Sc 0.5000 0.5000 0.5000  12 Co 3.28

Record 5
The following is a DFT calculation (meta-GGA SCAN) of a crystal of ScCoHg relaxed with PBEsol.

Calculated values
Energy of formation: -28.2 kJ/mol of atoms

Lattice parameters (Å, degrees): 3.2680 3.2680 5.1654 108.44 108.44 90.00
Last column: nearest neighbours and their distance in Å.
Fractional positions:
Sc 0.3517 0.3517 0.7033  4 Co 2.64, 5 Hg 2.84-2.92
Hg 0.6589 0.6589 0.3179  5 Co 2.79-3.05, 5 Sc 2.84-2.92
Co 0.9894 0.9894 0.9788  4 Sc 2.64, 4 Hg 2.79

Record 6
The following is a DFT calculation (meta-GGA SCAN) of a crystal of CoHg3Se relaxed with PBEsol.

Calculated values
Formation energy (no corrections): 284 kJ/mol of formula units

Lattice parameters (Å, degrees): 4.9035 4.9035 4.9035 90.00 90.00 90.00
Last column: nearest neighbours and their distance in Å.
Fractional positions:
Co 0.0000 0.0000 0.0000  6 Hg 2.45
Se 0.5000 0.5000 0.5000  12 Hg 3.47
Hg 0.5000 0.0000 0.0000  2 Co 2.45
Hg 0.0000 0.5000 0.0000  2 Co 2.45
Hg 0.0000 0.0000 0.5000  2 Co 2.45

Record 7
The following is a DFT calculation (meta-GGA SCAN) of a crystal of Co2HgSe2 relaxed with PBEsol.

Calculated values
Formation energy (no corrections): -50 kJ/mol of formula units

Lattice parameters (Å, degrees): 3.5419 3.5419 8.0837 102.65 102.65 90.00
Last column: nearest neighbours and their distance in Å.
Fractional positions:
Se 0.3443 0.3443 0.6886  4 Co 2.29
Co 0.2500 0.7500 0.5000  4 Se 2.29, 4 Co 2.50
Co 0.7500 0.2500 0.5000  4 Se 2.29, 4 Co 2.50
Se 0.6557 0.6557 0.3114  4 Co 2.29
Hg 0.0000 0.0000 0.0000  8 Se 3.46, 4 Hg 3.54

Record 8
The following is a DFT calculation (meta-GGA SCAN) of a crystal of CoHgSe2 relaxed with PBEsol.

Calculated values
Formation energy (no corrections): -76 kJ/mol of formula units

Lattice parameters (Å, degrees): 3.4459 3.4459 7.7835 77.21 77.21 60.00
Last column: nearest neighbours and their distance in Å.
Fractional positions:
Hg 0.0000 0.0000 0.0000  6 Se 3.21, 6 Hg 3.45
Co 0.5000 0.5000 0.5000  6 Se 2.35
Se 0.2217 0.2217 0.3349  3 Co 2.35
Se 0.7783 0.7783 0.6651  3 Co 2.35

Record 9
The following is a DFT calculation (meta-GGA SCAN) of a crystal of CoHgSe2 relaxed with PBEsol.

Calculated values
Formation energy (no corrections): -78 kJ/mol of formula units

Lattice parameters (Å, degrees): 3.3398 3.5210 7.5617 96.41 90.00 118.31
Last column: nearest neighbours and their distance in Å.
Fractional positions:
Se 0.2010 0.4021 0.1638  3 Co 2.34-2.36
Se 0.7990 0.5979 0.8362  3 Co 2.34-2.36
Co 0.5000 0.0000 0.0000  6 Se 2.34-2.36
Hg 0.0000 0.0000 0.5000  2 Se 2.97

Record 10
The following is a DFT calculation (meta-GGA SCAN) of a crystal of CoHgSe2 relaxed with PBEsol.

Calculated values
Formation energy (no corrections): 145 kJ/mol of formula units

Lattice parameters (Å, degrees): 3.4364 4.2363 5.1744 90.00 90.00 90.00
Last column: nearest neighbours and their distance in Å.
Fractional positions:
Se 0.0000 0.0000 0.0000  2 Hg 2.59, 4 Se 2.73
Co 0.5000 0.5000 0.5000  2 Se 2.59, 4 Hg 2.73
Se 0.5000 0.5000 0.0000  2 Co 2.59, 4 Se 2.73
Hg 0.0000 0.0000 0.5000  2 Se 2.59, 4 Co 2.73

Record 11
The following is a DFT calculation (meta-GGA SCAN) of a crystal of CoHgSe2 relaxed with PBEsol.

Calculated values
Formation energy (no corrections): 230 kJ/mol of formula units

Lattice parameters (Å, degrees): 3.4431 4.5793 4.5793 90.00 90.00 90.00
Last column: nearest neighbours and their distance in Å.
Fractional positions:
Se 0.0000 0.5000 0.0000  4 Co 2.86, 4 Hg 2.86
Se 0.0000 0.0000 0.5000  4 Co 2.86, 4 Hg 2.86
Hg 0.5000 0.0000 0.0000  8 Se 2.86
Co 0.5000 0.5000 0.5000  8 Se 2.86

Record 12
The following is a DFT calculation (meta-GGA SCAN) of a crystal of Zn2CoHgSe relaxed with PBEsol.

Calculated values
Formation energy (no corrections): 349 kJ/mol of formula units

Lattice parameters (Å, degrees): 4.8092 4.8092 4.8954 90.00 90.00 90.00
Last column: nearest neighbours and their distance in Å.
Fractional positions:
Zn 0.5000 0.0000 0.0000  2 Hg 2.40
Co 0.0000 0.0000 0.5000  2 Hg 2.45
Hg 0.0000 0.0000 0.0000  4 Zn 2.40, 2 Co 2.45
Zn 0.0000 0.5000 0.0000  2 Hg 2.40
Se 0.5000 0.5000 0.5000  4 Co 3.40, 8 Zn 3.43